Below is a geometry-optimized SmMgS3 structure, with properties calculated at the PBE-GGA level.

a b c (Å): 6.966 6.966 6.834
angles (deg): 74.15 74.15 110.88
Site moments in Bohr magnetons follow the coordinates.
Fractional coordinates of all 10 atoms:
S: 0.578 0.578 0.715  0.03
S: 0.422 0.422 0.285  0.03
S: 0.234 0.928 0.144  0.29
S: 0.766 0.072 0.856  0.29
S: 0.072 0.766 0.856  0.29
S: 0.928 0.234 0.144  0.29
Mg: 0.339 0.661 0.000  0.00
Mg: 0.661 0.339 0.000  0.00
Sm: 0.216 0.216 0.744  0.00
Sm: 0.784 0.784 0.256  0.00

Output
Formation energy without anion corrections (meV/atom): -1245.4
SG: C2/m (12)
Magnetization (μB/cell): 2.02
Energy relative to the lowest polymorph listed for this composition (meV per atom): 68
Total energy (eV per atom): -4.9846



Below is a geometry-optimized Pr8C3Br4F structure, with properties calculated at the PBE-GGA level.

a b c (Å): 7.704 8.713 7.702
angles (deg): 116.20 120.01 90.00
Fractional coordinates of all 16 atoms:
Pr: 0.271 0.313 0.542
Pr: 0.236 0.685 0.949
Pr: 0.729 0.687 0.458
Pr: 0.764 0.315 0.051
Pr: 0.236 0.685 0.473
Pr: 0.288 0.315 0.051
Pr: 0.712 0.685 0.949
Pr: 0.764 0.315 0.527
C: 0.500 0.500 0.500
C: 0.000 0.500 0.500
C: 0.500 0.500 0.000
Br: 0.000 0.000 0.500
Br: 0.500 0.000 0.500
Br: 0.000 0.000 0.000
Br: 0.500 0.000 0.000
F: 0.000 0.500 0.000

Output
Formation energy without anion corrections (meV/atom): -1088.4
SG: R-3m (166)
Magnetization (μB/cell): 0.00
Total energy (eV per atom): -5.7428



Below is a geometry-optimized Zr2Ga5Tc2Pd structure, with properties calculated at the PBE-GGA level.

a b c (Å): 3.355 10.116 10.116
angles (deg): 90.00 90.00 90.00
Fractional coordinates of all 20 atoms:
Ga: 0.500 0.696 0.453
Ga: 0.500 0.953 0.196
Ga: 0.500 0.000 0.500
Ga: 0.500 0.047 0.804
Ga: 0.500 0.500 0.000
Ga: 0.500 0.453 0.304
Ga: 0.500 0.304 0.547
Ga: 0.500 0.196 0.047
Ga: 0.500 0.547 0.696
Ga: 0.500 0.804 0.953
Zr: 0.000 0.685 0.185
Zr: 0.000 0.315 0.815
Zr: 0.000 0.185 0.315
Zr: 0.000 0.815 0.685
Tc: 0.000 0.371 0.129
Tc: 0.000 0.629 0.871
Tc: 0.000 0.129 0.629
Tc: 0.000 0.871 0.371
Pd: 0.000 0.500 0.500
Pd: 0.000 0.000 0.000

Output
SG: P4/mbm (127)
Magnetization (μB/cell): 0.00
Total energy (eV per atom): -6.0715
DFT formation energy (meV/atom): -256



Below is a geometry-optimized NpPbI6 structure, with properties calculated at the PBE-GGA level.

a b c (Å): 7.909 7.909 7.730
angles (deg): 98.51 98.51 121.33
Site moments in Bohr magnetons follow the coordinates.
Fractional coordinates of all 8 atoms:
Np: 0.500 0.500 0.500  3.37
Pb: 0.000 0.000 0.000  -0.01
I: 0.746 0.746 0.268  -0.05
I: 0.116 0.425 0.263  -0.05
I: 0.425 0.116 0.263  -0.05
I: 0.884 0.575 0.737  -0.05
I: 0.575 0.884 0.737  -0.05
I: 0.254 0.254 0.732  -0.05

Output
Formation energy without anion corrections (meV/atom): -697.6
SG: C2/m (12)
Magnetization (μB/cell): 3.00
Energy relative to the lowest polymorph listed for this composition (meV per atom): 0
Total energy (eV per atom): -3.9413